Record 1
# PBE-GGA KIrAu, relaxed
# ΔE_f in eV/atom: 0.323
# D(E_F) in states/eV per cell: 3.48
data_KIrAu
_chemical_formula_sum 'K2 Ir2 Au2'
_space_group_name_H-M_alt 'I m m 2'
_space_group_IT_number 44
_cell_length_a 2.7386
_cell_length_b 4.5813
_cell_length_c 11.5772
_cell_angle_alpha 90.00
_cell_angle_beta 90.00
_cell_angle_gamma 90.00
loop_
_space_group_symop_operation_xyz
'x,y,z'
'-x,-y,z'
'-x,y,z'
'x,-y,z'
'x+1/2,y+1/2,z+1/2'
'-x+1/2,-y+1/2,z+1/2'
'-x+1/2,y+1/2,z+1/2'
'x+1/2,-y+1/2,z+1/2'
loop_
_atom_site_label
_atom_site_type_symbol
_atom_site_fract_x
_atom_site_fract_y
_atom_site_fract_z
_atom_site_occupancy
K1 K 0.0000 0.0000 0.0000 1
Ir1 Ir 0.0000 0.0000 0.2695 1
Au1 Au 0.0000 0.0000 0.7319 1



Record 2
# PBE-GGA Pm4CdSn4, relaxed
# ΔE_f in eV/atom: -0.522
# D(E_F) in states/eV per cell: 14.03
data_Pm4CdSn4
_chemical_formula_sum 'Pm8 Cd2 Sn8'
_space_group_name_H-M_alt 'P 42/n'
_space_group_IT_number 86
_cell_length_a 9.0815
_cell_length_b 9.0815
_cell_length_c 6.2488
_cell_angle_alpha 90.00
_cell_angle_beta 90.00
_cell_angle_gamma 90.00
loop_
_space_group_symop_operation_xyz
'x,y,z'
'-x,-y,-z'
'-y,x+1/2,z+1/2'
'y,-x+1/2,-z+1/2'
'-x+1/2,-y+1/2,z'
'x+1/2,y+1/2,-z'
'y+1/2,-x,z+1/2'
'-y+1/2,x,-z+1/2'
loop_
_atom_site_label
_atom_site_type_symbol
_atom_site_fract_x
_atom_site_fract_y
_atom_site_fract_z
_atom_site_occupancy
Pm1 Pm 0.0668 0.8208 0.1104 1
Cd1 Cd 0.2500 0.2500 0.7500 1
Sn1 Sn 0.0394 0.1477 0.3876 1



Record 3
# PBE-GGA TaTlMo2, relaxed
# ΔE_f in eV/atom: 0.358
# D(E_F) in states/eV per cell: 4.17
data_TaTlMo2
_chemical_formula_sum 'Ta2 Tl2 Mo4'
_space_group_name_H-M_alt 'I m m 2'
_space_group_IT_number 44
_cell_length_a 3.4003
_cell_length_b 4.5706
_cell_length_c 9.2003
_cell_angle_alpha 90.00
_cell_angle_beta 90.00
_cell_angle_gamma 90.00
loop_
_space_group_symop_operation_xyz
'x,y,z'
'-x,-y,z'
'-x,y,z'
'x,-y,z'
'x+1/2,y+1/2,z+1/2'
'-x+1/2,-y+1/2,z+1/2'
'-x+1/2,y+1/2,z+1/2'
'x+1/2,-y+1/2,z+1/2'
loop_
_atom_site_label
_atom_site_type_symbol
_atom_site_fract_x
_atom_site_fract_y
_atom_site_fract_z
_atom_site_occupancy
Ta1 Ta 0.0000 0.0000 0.0000 1
Tl1 Tl 0.0000 0.5000 0.2300 1
Mo1 Mo 0.0000 0.0000 0.4655 1
Mo2 Mo 0.0000 0.5000 0.7383 1



Record 4
# PBE-GGA KHSO4, relaxed
# Energy in eV per cell: -72.91
# D(E_F) in states/eV per cell: 0.00
data_KHSO4
_chemical_formula_sum 'K2 H2 S2 O8'
_space_group_name_H-M_alt 'I -4'
_space_group_IT_number 82
_cell_length_a 5.0643
_cell_length_b 5.0643
_cell_length_c 7.0963
_cell_angle_alpha 90.00
_cell_angle_beta 90.00
_cell_angle_gamma 90.00
loop_
_space_group_symop_operation_xyz
'x,y,z'
'y,-x,-z'
'-x,-y,z'
'-y,x,-z'
'x+1/2,y+1/2,z+1/2'
'y+1/2,-x+1/2,-z+1/2'
'-x+1/2,-y+1/2,z+1/2'
'-y+1/2,x+1/2,-z+1/2'
loop_
_atom_site_label
_atom_site_type_symbol
_atom_site_fract_x
_atom_site_fract_y
_atom_site_fract_z
_atom_site_occupancy
K1 K 0.0000 0.0000 0.0000 1
H1 H 0.0000 0.0000 0.5000 1
S1 S 0.0000 0.5000 0.2500 1
O1 O 0.0675 0.7353 0.3685 1